1.
Material: ZnGaSe2S
Method: DFT, PBE
State: optimized geometry

```
ZnGaSe2S
1.0
4.877 0.000 0.000
0.000 4.977 0.000
0.000 0.000 4.877
Zn Se S Ga
1 2 1 1
direct
0.000 0.000 0.000
0.000 0.000 0.500
0.500 0.000 0.000
0.500 0.500 0.500
0.000 0.500 0.000
```

Properties
Its formation energy from raw total energies is 0.56 eV/atom. The space-group type is P4/mmm, No. 123.

2.
Material: GaSi2S
Method: DFT, PBE
State: optimized geometry

```
GaSi2S
1.0
6.341 0.000 -0.001
0.000 3.699 0.000
-0.284 0.000 6.716
S Si Ga
2 4 2
direct
0.343 0.000 0.009
0.343 0.500 0.509
0.693 0.500 0.547
0.693 0.000 0.047
0.833 0.000 0.727
0.833 0.500 0.227
0.134 0.000 0.313
0.134 0.500 0.813
```

Properties
Its formation energy from raw total energies is -0.11 eV/atom. The space-group type is Cm, No. 8. The excess energy over the best structure of this formula in the dataset comes out at 0.000 eV per formula unit.

3.
Material: GaSi2S
Method: DFT, PBE
State: optimized geometry

```
GaSi2S
1.0
-1.817 2.978 -0.018
-2.319 -1.401 2.274
3.487 1.869 4.708
S Si Ga
1 2 1
direct
0.745 0.000 0.355
0.382 0.500 0.811
0.891 0.000 0.714
0.915 0.500 0.123
```

Properties
Its formation energy from raw total energies is 0.02 eV/atom. The space-group type is Pm, No. 6. The excess energy over the best structure of this formula in the dataset comes out at 0.519 eV per formula unit.

4.
Material: GaSi2S
Method: DFT, PBE
State: optimized geometry

```
GaSi2S
1.0
4.236 0.040 0.000
-2.044 3.380 -0.001
-0.004 -0.004 5.855
Si Ga S
2 1 1
direct
0.155 0.231 0.220
0.807 0.545 0.299
0.157 0.233 0.798
0.799 0.536 0.680
```

Properties
Its formation energy from raw total energies is -0.06 eV/atom. The space-group type is P1, No. 1. The excess energy over the best structure of this formula in the dataset comes out at 0.202 eV per formula unit.

5.
Material: GaSi2S
Method: DFT, PBE
State: optimized geometry

```
GaSi2S
1.0
5.421 0.000 0.000
0.000 5.421 0.000
2.711 2.711 5.851
Ga S Si
2 2 4
direct
0.750 0.250 0.500
0.000 0.000 0.000
0.250 0.750 0.500
0.500 0.500 0.000
0.624 0.125 0.250
0.875 0.874 0.750
0.126 0.625 0.250
0.375 0.376 0.750
```

Properties
Its formation energy from raw total energies is 0.25 eV/atom. The space-group type is I-42d, No. 122. The excess energy over the best structure of this formula in the dataset comes out at 1.428 eV per formula unit.

6.
Material: Ga2Si2S
Method: DFT, PBE
State: optimized geometry

```
Ga2Si2S
1.0
4.117 -0.006 0.001
0.056 4.422 0.003
0.328 2.042 5.443
Si Ga S
2 2 1
direct
0.387 0.198 0.362
0.142 0.723 0.635
0.179 0.687 0.053
0.654 0.427 0.632
0.649 0.026 0.066
```

Properties
Its formation energy from raw total energies is -0.03 eV/atom. The space-group type is P1, No. 1. The excess energy over the best structure of this formula in the dataset comes out at 0.379 eV per formula unit.

7.
Material: Ga2Si2S
Method: DFT, PBE
State: optimized geometry

```
Ga2Si2S
1.0
-3.647 -0.814 -0.304
2.304 -0.610 -2.894
4.343 -22.526 8.204
S Ga Si
3 6 6
direct
0.333 0.667 0.534
0.667 0.333 0.201
0.000 0.000 0.868
0.667 0.333 0.479
0.333 0.667 0.070
0.333 0.667 0.813
0.667 0.333 0.737
0.000 0.000 0.146
0.000 0.000 0.403
0.000 0.000 0.665
0.333 0.667 0.626
0.667 0.333 0.293
0.000 0.000 0.960
0.333 0.667 0.331
0.667 0.333 0.998
```

Properties
Its formation energy from raw total energies is -0.07 eV/atom. The space-group type is R3m, No. 160. The excess energy over the best structure of this formula in the dataset comes out at 0.177 eV per formula unit.

8.
Material: Ga2Si2S
Method: DFT, PBE
State: optimized geometry

```
Ga2Si2S
1.0
-0.302 3.772 -1.113
-3.929 -2.477 -2.853
-1.362 0.833 5.291
Ga Si S
2 2 1
direct
0.683 0.195 0.052
0.231 0.044 0.305
0.604 0.727 0.689
0.036 0.648 0.419
0.372 0.375 0.786
```

Properties
Its formation energy from raw total energies is -0.02 eV/atom. The space-group type is P1, No. 1. The excess energy over the best structure of this formula in the dataset comes out at 0.432 eV per formula unit.

9.
Material: Ga2Si2S
Method: DFT, PBE
State: optimized geometry

```
Ga2Si2S
1.0
-0.890 -2.766 -2.425
2.079 -4.924 2.079
-4.953 -2.712 1.978
Si Ga S
2 2 1
direct
0.240 0.805 0.426
0.898 0.664 0.239
0.000 0.247 0.451
0.143 0.582 0.829
0.763 0.297 0.856
```

Properties
Its formation energy from raw total energies is -0.11 eV/atom. The space-group type is P1, No. 1. The excess energy over the best structure of this formula in the dataset comes out at 0.000 eV per formula unit.

10.
Material: GaSi2S
Method: DFT, PBE
State: optimized geometry

```
GaSi2S
1.0
2.617 0.006 -0.001
-0.752 3.746 0.004
-0.934 -1.787 7.442
Ga Si S
1 2 1
direct
0.544 0.146 0.111
0.820 0.933 0.665
0.919 0.528 0.863
0.664 0.769 0.364
```

Properties
Its formation energy from raw total energies is 0.14 eV/atom. The space-group type is P1, No. 1. The excess energy over the best structure of this formula in the dataset comes out at 0.972 eV per formula unit.

11.
Material: Ga2Si2S
Method: DFT, PBE
State: optimized geometry

```
Ga2Si2S
1.0
3.728 0.000 0.000
-1.864 3.229 0.000
0.000 0.000 8.371
Ga Si S
2 2 1
direct
0.667 0.333 0.787
0.333 0.667 0.016
0.000 0.000 0.236
0.333 0.667 0.351
0.333 0.667 0.621
```

Properties
Its formation energy from raw total energies is -0.04 eV/atom. The space-group type is P3m1, No. 156. The excess energy over the best structure of this formula in the dataset comes out at 0.336 eV per formula unit.

12.
Material: GaSiS2
Method: DFT, PBE
State: optimized geometry

```
GaSiS2
1.0
6.734 0.000 0.000
0.000 6.734 0.000
3.367 3.367 3.795
S Ga Si
4 2 2
direct
0.375 0.436 0.750
0.186 0.625 0.250
0.564 0.125 0.250
0.875 0.814 0.750
0.000 0.000 0.000
0.750 0.250 0.500
0.250 0.750 0.500
0.500 0.500 0.000
```

Properties
Its formation energy from raw total energies is -0.06 eV/atom. The space-group type is I-42d, No. 122.